Ta6Mo after structural relaxation, computed with GGA-PBEsol.

Results
Excess energy over the best structure of this formula in the dataset: 6 meV/atom
ρ: 16.3 g/cm3
Energy of formation from the pure elements: -0.053 eV/atom

abc: 3.246 3.246 22.895
angles: 90.00 90.00 90.00
Space group I4/mmm (No. 139)
One atom of each set of equivalent atoms:
Ta 0.000 0.000 0.068 [4 per cell]
Ta 0.000 0.000 0.214 [4 per cell]
Ta 0.000 0.000 0.358 [4 per cell]
Mo 0.000 0.000 0.500 [2 per cell]